VASP calculation (PBE) on an optimized crystal structure of Ba2Al3Zn4.

It has space group Cmce (No. 64), with a = 5.8151 Å, b = 17.0066 Å, c = 8.4658 Å, α = 90.00°, β = 90.00° and γ = 90.00°. The distinct sites, in fractional coordinates, are Ba at (0.0000, 0.1082, 0.1032), Al at (0.0000, 0.0000, 0.5000), Al at (0.2500, 0.2153, 0.7500), Zn at (0.0000, 0.1961, 0.4816) and Zn at (0.2500, 0.0617, 0.7500).

Its energy of formation is -128.2 meV/atom. Its total magnetization is 0.00 Bohr magnetons per cell.